Crystalline TlCu2TcB at its relaxed geometry, computed with PBE-GGA.

Output
Energy relative to the elements ... 1.953 eV/atom

Cell: 4.860 4.112 4.860 Å, 90.00 90.00 90.00°
Positions (direct):
1 Tl 0.000 0.000 0.000
2 B 0.000 0.500 0.000
3 Tc 0.500 0.500 0.500
4 Cu 0.000 0.000 0.500
5 Cu 0.500 0.000 0.000

Crystalline Cs3Ce3RuSe8 at its relaxed geometry, computed with PBE-GGA.

Output
Energy relative to the elements, uncorrected ... -1318 meV/atom

Cell: 8.311 8.259 8.637 Å, 89.69 90.00 120.21°
Positions (direct):
1 Cs 0.000 0.000 0.000
2 Cs 0.000 0.500 0.000
3 Cs 0.500 0.500 0.000
4 Ce 0.500 0.000 0.500
5 Ce 0.500 0.500 0.500
6 Ce 0.000 0.500 0.500
7 Ru 0.000 0.000 0.500
8 Se 0.152 0.304 0.677
9 Se 0.848 0.696 0.323
10 Se 0.666 0.332 0.692
11 Se 0.334 0.668 0.308
12 Se 0.850 0.154 0.327
13 Se 0.150 0.846 0.673
14 Se 0.304 0.154 0.327
15 Se 0.696 0.846 0.673

Crystalline CaSmF at its relaxed geometry, computed with PBE-GGA.

Output
Energy relative to the elements, uncorrected ... -1522 meV/atom
Energy above the most stable polymorph in this dataset ... 27 meV per atom

Cell: 3.721 3.723 12.196 Å, 90.00 90.00 119.98°
Positions (direct):
1 Ca 0.445 0.890 0.000
2 Ca 0.445 0.889 0.500
3 Sm 0.778 0.555 0.251
4 Sm 0.778 0.555 0.749
5 F 0.111 0.222 0.890
6 F 0.111 0.222 0.110

Crystalline Tl2BiPd8 at its relaxed geometry, computed with PBE-GGA.

Output
Energy above the most stable polymorph in this dataset ... 0 meV per atom
Energy relative to the elements ... -0.187 eV/atom

Cell: 4.103 7.930 7.639 Å, 121.27 105.58 90.00°
Positions (direct):
1 Tl 0.156 0.656 0.312
2 Tl 0.844 0.344 0.688
3 Bi 0.500 0.000 0.000
4 Pd 0.668 0.919 0.335
5 Pd 0.332 0.583 0.665
6 Pd 0.172 0.172 0.344
7 Pd 0.000 0.249 0.000
8 Pd 0.828 0.828 0.656
9 Pd 0.668 0.417 0.335
10 Pd 0.332 0.081 0.665
11 Pd 0.000 0.751 0.000

Crystalline Th4CoTe2C at its relaxed geometry, computed with PBE-GGA.

Output
Energy relative to the elements, uncorrected ... -729 meV/atom

Cell: 3.930 7.175 7.839 Å, 107.75 90.00 90.00°
Positions (direct):
1 Th 0.500 0.228 0.191
2 Th 0.500 0.772 0.809
3 Th 0.000 0.289 0.808
4 Th 0.000 0.711 0.192
5 Co 0.000 0.000 0.000
6 Te 0.500 0.000 0.500
7 Te 0.000 0.500 0.500
8 C 0.500 0.500 0.000

Crystalline CrHgTe at its relaxed geometry, computed with PBE-GGA.

Output
Energy relative to the elements, uncorrected ... 119 meV/atom
Energy above the most stable polymorph in this dataset ... 0 meV per atom

Cell: 4.764 4.764 4.764 Å, 60.00 60.00 60.00°
Positions (direct):
1 Cr 0.750 0.750 0.750
2 Hg 0.000 0.000 0.000
3 Te 0.500 0.500 0.500

Crystalline Pb2NO at its relaxed geometry, computed with PBE-GGA.

Output
Energy relative to the elements, uncorrected ... 35 meV/atom
Energy above the most stable polymorph in this dataset ... 0 meV per atom

Cell: 5.584 5.584 6.809 Å, 65.79 65.79 90.00°
Positions (direct):
1 Pb 0.621 0.125 0.250
2 Pb 0.129 0.625 0.250
3 Pb 0.375 0.379 0.750
4 Pb 0.875 0.871 0.750
5 O 0.000 0.000 0.000
6 O 0.750 0.250 0.500
7 N 0.500 0.500 0.000
8 N 0.250 0.750 0.500

Crystalline SrAc12Ni6 at its relaxed geometry, computed with PBE-GGA.

Output
Energy relative to the elements ... -0.163 eV/atom

Cell: 9.446 9.446 9.446 Å, 109.47 109.47 109.47°
Positions (direct):
1 Sr 0.000 0.000 0.000
2 Ac 0.321 0.136 0.815
3 Ac 0.321 0.506 0.185
4 Ac 0.679 0.494 0.815
5 Ac 0.679 0.864 0.185
6 Ac 0.136 0.815 0.321
7 Ac 0.506 0.185 0.321
8 Ac 0.494 0.815 0.679
9 Ac 0.864 0.185 0.679
10 Ac 0.815 0.321 0.136
11 Ac 0.185 0.321 0.506
12 Ac 0.815 0.679 0.494
13 Ac 0.185 0.679 0.864
14 Ni 0.385 0.500 0.885
15 Ni 0.615 0.500 0.115
16 Ni 0.500 0.885 0.385
17 Ni 0.500 0.115 0.615
18 Ni 0.885 0.385 0.500
19 Ni 0.115 0.615 0.500

Crystalline Mo2AsP at its relaxed geometry, computed with PBE-GGA.

Output
Energy above the most stable polymorph in this dataset ... 238 meV per atom
Energy relative to the elements ... -0.170 eV/atom

Cell: 3.309 3.309 6.880 Å, 76.09 76.09 60.00°
Positions (direct):
1 Mo 0.079 0.079 0.762
2 Mo 0.253 0.253 0.242
3 As 0.502 0.502 0.495
4 P 0.667 0.667 0.000

Crystalline Ce5CoBi2 at its relaxed geometry, computed with PBE-GGA.

Output
Energy relative to the elements ... -0.351 eV/atom

Cell: 7.177 7.178 6.724 Å, 122.25 122.26 90.00°
Positions (direct):
1 Ce 0.765 0.267 0.032
2 Ce 0.267 0.267 0.032
3 Ce 0.765 0.765 0.032
4 Ce 0.267 0.765 0.032
5 Ce 0.693 0.693 0.387
6 Co 0.998 0.998 0.995
7 Bi 0.261 0.761 0.523
8 Bi 0.761 0.261 0.523

Crystalline LiNdAgPd2 at its relaxed geometry, computed with PBE-GGA.

Output
Energy relative to the elements ... -0.466 eV/atom

Cell: 5.974 5.309 5.998 Å, 90.00 90.00 90.00°
Positions (direct):
1 Li 0.000 0.000 0.000
2 Li 0.000 0.500 0.000
3 Nd 0.240 0.250 0.500
4 Nd 0.760 0.750 0.500
5 Ag 0.627 0.750 0.000
6 Ag 0.373 0.250 0.000
7 Pd 0.745 0.250 0.735
8 Pd 0.745 0.250 0.265
9 Pd 0.255 0.750 0.735
10 Pd 0.255 0.750 0.265

Crystalline SrMg2ZnNi at its relaxed geometry, computed with PBE-GGA.

Output
Energy relative to the elements ... -0.100 eV/atom

Cell: 4.913 4.913 4.832 Å, 90.00 90.00 90.00°
Positions (direct):
1 Sr 0.500 0.500 0.500
2 Zn 0.000 0.000 0.500
3 Mg 0.000 0.500 0.000
4 Mg 0.500 0.000 0.000
5 Ni 0.000 0.000 0.000

Crystalline KYAu2 at its relaxed geometry, computed with PBE-GGA.

Output
Energy above the most stable polymorph in this dataset ... 139 meV per atom
Energy relative to the elements ... -0.441 eV/atom

Cell: 4.184 4.184 8.536 Å, 76.16 76.16 59.47°
Positions (direct):
1 Au 0.016 0.016 0.952
2 Au 0.484 0.484 0.548
3 K 0.250 0.250 0.250
4 Y 0.750 0.750 0.750

Crystalline Ho7Tm3Th2 at its relaxed geometry, computed with PBE-GGA.

Output
Energy above the most stable polymorph in this dataset ... 0 meV per atom
Energy relative to the elements ... 0.127 eV/atom

Cell: 3.543 5.726 18.726 Å, 93.60 90.00 90.00°
Positions (direct):
1 Ho 0.500 0.742 0.461
2 Ho 0.500 0.258 0.539
3 Ho 0.000 0.682 0.141
4 Ho 0.000 0.000 0.000
5 Ho 0.000 0.318 0.859
6 Ho 0.500 0.816 0.823
7 Ho 0.500 0.184 0.177
8 Tm 0.500 0.500 0.000
9 Tm 0.000 0.224 0.371
10 Tm 0.000 0.776 0.629
11 Th 0.500 0.709 0.293
12 Th 0.500 0.291 0.707

Crystalline NbV2Cr at its relaxed geometry, computed with PBE-GGA.

Output
Energy above the most stable polymorph in this dataset ... 496 meV per atom
Energy relative to the elements ... 0.517 eV/atom

Cell: 6.765 6.765 5.454 Å, 51.67 51.67 90.00°
Positions (direct):
1 Cr 0.500 0.500 0.000
2 Cr 0.250 0.750 0.500
3 Nb 0.000 0.000 0.000
4 Nb 0.750 0.250 0.500
5 V 0.594 0.125 0.250
6 V 0.156 0.625 0.250
7 V 0.375 0.406 0.750
8 V 0.875 0.844 0.750

Crystalline FeMo2 at its relaxed geometry, computed with PBE-GGA.

Output
Energy relative to the elements ... 0.122 eV/atom

Cell: 4.406 4.406 2.612 Å, 90.00 90.00 120.00°
Positions (direct):
1 Fe 0.000 0.000 0.000
2 Mo 0.667 0.333 0.340
3 Mo 0.333 0.667 0.660

Crystalline Mg4SnAu15 at its relaxed geometry, computed with PBE-GGA.

Output
Energy relative to the elements ... -0.319 eV/atom

Cell: 4.163 4.163 20.960 Å, 90.00 90.00 90.00°
Positions (direct):
1 Mg 0.000 0.000 0.205
2 Mg 0.000 0.000 0.402
3 Mg 0.000 0.000 0.598
4 Mg 0.000 0.000 0.795
5 Sn 0.000 0.000 0.000
6 Au 0.500 0.500 0.000
7 Au 0.500 0.500 0.206
8 Au 0.500 0.500 0.402
9 Au 0.500 0.500 0.598
10 Au 0.500 0.500 0.794
11 Au 0.500 0.000 0.108
12 Au 0.500 0.000 0.304
13 Au 0.500 0.000 0.500
14 Au 0.500 0.000 0.696
15 Au 0.500 0.000 0.892
16 Au 0.000 0.500 0.108
17 Au 0.000 0.500 0.304
18 Au 0.000 0.500 0.500
19 Au 0.000 0.500 0.696
20 Au 0.000 0.500 0.892

Crystalline YHIr at its relaxed geometry, computed with PBE-GGA.

Output
Energy above the most stable polymorph in this dataset ... 0 meV per atom

Cell: 3.667 5.590 4.699 Å, 90.00 90.00 70.64°
Positions (direct):
1 Y 0.643 0.715 0.250
2 Y 0.357 0.285 0.750
3 H 0.407 0.185 0.250
4 H 0.593 0.815 0.750
5 Ir 0.915 0.171 0.250
6 Ir 0.085 0.829 0.750

Crystalline NaReCl2 at its relaxed geometry, computed with PBE-GGA.

Output
Energy relative to the elements, uncorrected ... 269 meV/atom
Energy above the most stable polymorph in this dataset ... 415 meV per atom

Cell: 5.330 5.330 7.619 Å, 69.52 69.52 90.00°
Positions (direct):
1 Re 0.000 0.000 0.000
2 Re 0.750 0.250 0.500
3 Na 0.500 0.500 0.000
4 Na 0.250 0.750 0.500
5 Cl 0.691 0.125 0.250
6 Cl 0.059 0.625 0.250
7 Cl 0.375 0.309 0.750
8 Cl 0.875 0.941 0.750

Crystalline HfTiC at its relaxed geometry, computed with PBE-GGA.

Output
Energy above the most stable polymorph in this dataset ... 30 meV per atom
Energy relative to the elements ... -0.584 eV/atom

Cell: 3.188 3.188 5.121 Å, 90.00 90.00 120.00°
Positions (direct):
1 C 0.667 0.333 0.347
2 Hf 0.000 0.000 0.091
3 Ti 0.333 0.667 0.562